DFT (PBE) results for a geometry-optimized PmInHg4 structure.

Lattice parameters (Å, degrees): 4.444 4.458 8.958 90.00 90.00 90.00
Atoms (fractional coordinates):
Pm (0.501, 0.497, 0.998)
In (0.001, 0.998, 0.498)
Hg (0.501, 0.997, 0.253)
Hg (0.501, 0.997, 0.743)
Hg (0.001, 0.497, 0.742)
Hg (0.001, 0.497, 0.254)

The calculation puts the total energy at -1.540 eV/atom. The value obtained for the distance to the lowest polymorph of the same formula is 1.05 eV per formula unit.

DFT (PBE) results for a geometry-optimized FeRhW structure.

Lattice parameters (Å, degrees): 4.046 4.046 4.046 60.00 60.00 60.00
Site moments in Bohr magnetons follow the coordinates.
Atoms (fractional coordinates):
Fe (0.750, 0.750, 0.750)  1.40
Rh (0.000, 0.000, 0.000)  0.19
W (0.500, 0.500, 0.500)  -0.61

The calculation puts the total energy at -9.042 eV/atom. The value obtained for the distance to the lowest polymorph of the same formula is 1.68 eV per formula unit.

DFT (PBE) results for a geometry-optimized TaCr2Se structure.

Lattice parameters (Å, degrees): 8.047 8.047 8.047 22.42 22.42 22.42
Site moments in Bohr magnetons follow the coordinates.
Atoms (fractional coordinates):
Cr (0.996, 0.996, 0.996)  -1.73
Cr (0.258, 0.258, 0.258)  2.88
Se (0.496, 0.496, 0.496)  -0.02
Ta (0.750, 0.750, 0.750)  0.30

The energy relative to the elements, uncorrected is 0.255 eV/atom. The calculation puts the total energy at -8.391 eV/atom.